## LiAlSiPd (PBE)

Data for a relaxed LiAlSiPd crystal.

abc: 4.309 4.309 4.309
angles: 60.00 60.00 60.00
Positions (direct):
Al 0.250 0.250 0.250
Li 0.750 0.750 0.750
Pd 0.500 0.500 0.500
Si 0.000 0.000 0.000

Computed properties:
As for the symmetry: F-43m. The calculation puts the raw total energy at -4.429 eV per atom. The density is 4.9 Mg/m³.

## BeZnPdPb (PBE)

Data for a relaxed BeZnPdPb crystal.

abc: 4.579 4.579 4.579
angles: 60.00 60.00 60.00
Positions (direct):
Be 0.750 0.750 0.750
Pb 0.000 0.000 0.000
Pd 0.500 0.500 0.500
Zn 0.250 0.250 0.250

Computed properties:
As for the symmetry: F-43m. The calculation puts the raw total energy at -3.248 eV per atom. The density is 9.5 Mg/m³.

## DySc4C2S (PBE)

Data for a relaxed DySc4C2S crystal.

abc: 3.415 3.415 14.501
angles: 90.00 90.00 120.00
Positions (direct):
C 0.000 0.000 0.291
C 0.000 0.000 0.709
Dy 0.667 0.333 0.000
S 0.333 0.667 0.500
Sc 0.333 0.667 0.211
Sc 0.667 0.333 0.379
Sc 0.667 0.333 0.621
Sc 0.333 0.667 0.789

Computed properties:
As for the symmetry: P-6m2. The calculation puts the raw total energy at -7.354 eV per atom. The density is 4.5 Mg/m³.